# YCd2Ir

Crystalline YCd2Ir at its relaxed geometry (PBE-GGA, Alexandria via LeMat-Bulk).

The raw total energy is -4.286 eV per atom. For the spin magnetization, the calculation gives 0.000 μB/atom.

The structure belongs to space group Cmmm (No. 65); the cell edges are 5.674, 9.070 and 3.258 Å and the angles 90.00°, 90.00° and 90.00°. The distinct sites, in fractional coordinates, are Y at (0.000, 0.000, 0.000), Cd at (0.250, 0.250, 0.500) and Ir at (0.000, 0.500, 0.000).

# Y2CdIr

Crystalline Y2CdIr at its relaxed geometry (PBE-GGA, Alexandria via LeMat-Bulk).

The raw total energy is -5.960 eV per atom. For the spin magnetization, the calculation gives 0.000 μB/atom.

The structure belongs to space group P4mm (No. 99); the cell edges are 4.021, 4.021 and 6.333 Å and the angles 90.00°, 90.00° and 90.00°. The distinct sites, in fractional coordinates, are Y at (0.000, 0.000, 0.000), Y at (0.500, 0.500, 0.340), Cd at (0.000, 0.000, 0.535) and Ir at (0.500, 0.500, 0.908).

# Y2CdIr

Crystalline Y2CdIr at its relaxed geometry (PBE-GGA, Alexandria via LeMat-Bulk).

The raw total energy is -6.191 eV per atom. For the spin magnetization, the calculation gives 0.000 μB/atom.

The structure belongs to space group P4/mmm (No. 123); the cell edges are 4.986, 4.986 and 3.662 Å and the angles 90.00°, 90.00° and 90.00°. The distinct sites, in fractional coordinates, are Y at (0.000, 0.500, 0.000), Cd at (0.000, 0.000, 0.500) and Ir at (0.500, 0.500, 0.500).

# Y5Cd2Ir2

Crystalline Y5Cd2Ir2 at its relaxed geometry (PBE-GGA, Alexandria via LeMat-Bulk).

The raw total energy is -6.321 eV per atom. For the spin magnetization, the calculation gives 0.000 μB/atom.

The structure belongs to space group Cmce (No. 64); the cell edges are 16.195, 7.519 and 7.626 Å and the angles 90.00°, 90.00° and 90.00°. The distinct sites, in fractional coordinates, are Y at (0.000, 0.000, 0.000), Y at (0.120, 0.177, 0.324), Cd at (0.219, 0.000, 0.000) and Ir at (0.000, 0.126, 0.629).

Among the records above, which one has the highest raw total energy?
YCd2Ir

Which formula does entry 4 have?
Y5Cd2Ir2